# 1
Material: La6Mg22Al
Method: DFT, PBEsol
State: relaxed

## Properties
E: -304.59 eV per cell
N(E_F): 0.870 states/eV per atom
ΔH_f (0 K): -0.08 eV per atom
Calculated density: 3.12 Mg/m³

```
data_La6Mg22Al
_space_group_name_H-M_alt 'F m -3 m'
_space_group_IT_number 225
_space_group_name_Hall '-F 4 2 3'
_cell_length_a 14.368
_cell_length_b 14.368
_cell_length_c 14.368
_cell_angle_alpha 90.00
_cell_angle_beta 90.00
_cell_angle_gamma 90.00
loop_
_atom_site_label
_atom_site_fract_x
_atom_site_fract_y
_atom_site_fract_z
_atom_site_occupancy
La1 0.000 0.000 0.196 1
Mg1 0.000 0.250 0.250 1
Mg2 0.118 0.118 0.382 1
Mg3 0.171 0.171 0.171 1
Al1 0.000 0.000 0.500 1
```

=====

# 2
Material: La2MgAl3
Method: DFT, PBEsol
State: relaxed

## Properties
E: -81.31 eV per cell
N(E_F): 0.461 states/eV per atom
ΔH_f (0 K): -0.40 eV per atom
Calculated density: 4.64 Mg/m³

```
data_La2MgAl3
_space_group_name_H-M_alt 'R -3 m'
_space_group_IT_number 166
_space_group_name_Hall '-R 3 2"'
_cell_length_a 5.8223
_cell_length_b 5.8223
_cell_length_c 13.9956
_cell_angle_alpha 90.00
_cell_angle_beta 90.00
_cell_angle_gamma 120.00
loop_
_atom_site_label
_atom_site_fract_x
_atom_site_fract_y
_atom_site_fract_z
_atom_site_occupancy
La1 0.0000 0.0000 0.1187 1
Mg1 0.0000 0.0000 0.5000 1
Al1 0.0000 0.5000 0.0000 1
```

=====

Which formula does entry 1 have?
La6Mg22Al

=====

Which of these has the highest ΔH_f (0 K)?
La6Mg22Al